Record 1
An optimized crystal structure of Cs2K2US6. Source: Alexandria via LeMat-Bulk, functional PBE.

Calculated density   3.1 g/cm3
M_tot   0.1896 μB per atom
Crystal system   monoclinic
Energy relative to the elements, uncorrected   -1.04 eV per atom

Unit cell a=8.0848 b=13.0634 c=8.3936 alpha=90.00 beta=109.80 gamma=90.00
Space group C2/m (No. 12)
Symmetry-distinct sites (fractional):
Cs 0.0000 0.1836 0.0000 x4
K 0.0000 0.3435 0.5000 x4
U 0.0000 0.0000 0.5000 x2
S 0.1889 0.0000 0.3113 x4
S 0.1972 0.1370 0.6875 x8

Record 2
An optimized crystal structure of SmCdSn. Source: Alexandria via LeMat-Bulk, functional PBE.

Calculated density   8.2 g/cm3
M_tot   0.0000 μB per atom
Formation enthalpy at 0 K   -0.4772 eV per atom
Crystal system   trigonal

Unit cell a=4.9742 b=4.9742 c=3.6216 alpha=90.00 beta=90.00 gamma=120.00
Space group P3m1 (No. 156)
Symmetry-distinct sites (fractional):
Sm 0.0000 0.0000 0.0000 x1
Cd 0.6667 0.3333 0.4993 x1
Sn 0.3333 0.6667 0.5008 x1

Record 3
An optimized crystal structure of CaCd3Tc. Source: Alexandria via LeMat-Bulk, functional PBE.

Calculated density   5.6 g/cm3
M_tot   0.0000 μB per atom
Formation enthalpy at 0 K   0.3925 eV per atom
Distance to the lowest polymorph of the same formula   0.0 meV/atom
Crystal system   cubic

Unit cell a=5.2012 b=5.2012 c=5.2012 alpha=90.00 beta=90.00 gamma=90.00
Space group Pm-3m (No. 221)
Symmetry-distinct sites (fractional):
Ca 0.0000 0.0000 0.0000 x1
Cd 0.0000 0.5000 0.5000 x3
Tc 0.5000 0.5000 0.5000 x1

Record 4
An optimized crystal structure of CaCu2Au4. Source: Alexandria via LeMat-Bulk, functional PBE.

Calculated density   12.4 g/cm3
M_tot   0.0000 μB per atom
Formation enthalpy at 0 K   -0.3204 eV per atom
Crystal system   orthorhombic

Unit cell a=5.2367 b=6.9897 c=7.0002 alpha=90.00 beta=90.00 gamma=90.00
Space group Immm (No. 71)
Symmetry-distinct sites (fractional):
Ca 0.0000 0.0000 0.0000 x2
Cu 0.2502 0.0000 0.5000 x4
Au 0.0000 0.2989 0.2993 x8